{"formula": "PrHoCo", "functional": "PBE", "state": "relaxed", "cell": [[3.957, 0.000, 0.000], [-1.979, 3.427, 0.000], [0.000, 0.000, 6.232]], "species": ["Pr", "Ho", "Co"], "frac_coords": [[0.000, 0.000, 0.000], [0.667, 0.333, 0.536], [0.333, 0.667, 0.757]], "magmom_total_mub_per_cell": 0.000, "space_group": "P3m1 (156)", "polymorph_energy_ev_per_atom": 0.0848, "delta_e_f_ev_per_atom": -0.01}

{"formula": "Nd7ErTl5", "functional": "PBE", "state": "relaxed", "cell": [[-3.374, 5.406, 5.647], [3.374, -5.406, 5.647], [3.374, 5.406, -5.647]], "species": ["Nd", "Nd", "Nd", "Nd", "Nd", "Nd", "Nd", "Er", "Tl", "Tl", "Tl", "Tl", "Tl"], "frac_coords": [[0.000, 0.000, 0.000], [0.236, 0.546, 0.690], [0.341, 0.341, 0.000], [0.367, 0.030, 0.337], [0.694, 0.030, 0.663], [0.802, 0.302, 0.500], [0.856, 0.546, 0.310], [0.665, 0.665, 0.000], [0.029, 0.032, 0.481], [0.029, 0.548, 0.997], [0.275, 0.775, 0.500], [0.551, 0.032, 0.003], [0.551, 0.548, 0.519]], "magmom_total_mub_per_cell": 0.001, "space_group": "Imm2 (44)", "delta_e_f_ev_per_atom": -0.18}

{"formula": "Na3Ce3BiSe8", "functional": "PBE", "state": "relaxed", "cell": [[4.271, 2.466, 6.953], [-4.271, 2.466, 6.953], [0.000, -4.931, 6.953]], "species": ["Na", "Na", "Na", "Ce", "Ce", "Ce", "Bi", "Se", "Se", "Se", "Se", "Se", "Se", "Se", "Se"], "frac_coords": [[0.000, 0.500, 0.500], [0.500, 0.000, 0.500], [0.500, 0.500, 0.000], [0.000, 0.000, 0.500], [0.000, 0.500, 0.000], [0.500, 0.000, 0.000], [0.500, 0.500, 0.500], [0.241, 0.745, 0.745], [0.245, 0.245, 0.245], [0.255, 0.255, 0.759], [0.255, 0.759, 0.255], [0.745, 0.241, 0.745], [0.745, 0.745, 0.241], [0.755, 0.755, 0.755], [0.759, 0.255, 0.255]], "magmom_total_mub_per_cell": 2.009, "space_group": "R-3m (166)", "formation_energy_uncorrected_ev_per_atom": -1.4043}

{"formula": "RbGaBrCl", "functional": "PBE", "state": "relaxed", "cell": [[0.000, 3.931, 3.931], [3.931, 0.000, 3.931], [3.931, 3.931, 0.000]], "species": ["Rb", "Ga", "Br", "Cl"], "frac_coords": [[0.000, 0.000, 0.000], [0.500, 0.500, 0.500], [0.750, 0.750, 0.750], [0.250, 0.250, 0.250]], "magmom_total_mub_per_cell": 0.000, "space_group": "F-43m (216)", "formation_energy_uncorrected_ev_per_atom": -1.1283}

{"formula": "Nd3MnS6", "functional": "PBE", "state": "relaxed", "cell": [[5.479, -6.784, 0.000], [5.479, 6.784, 0.000], [0.000, 0.000, 6.714]], "species": ["Nd", "Nd", "Nd", "Nd", "Nd", "Nd", "Mn", "Mn", "S", "S", "S", "S", "S", "S", "S", "S", "S", "S", "S", "S"], "frac_coords": [[0.102, 0.898, 0.500], [0.217, 0.417, 0.418], [0.417, 0.217, 0.918], [0.583, 0.783, 0.418], [0.783, 0.583, 0.918], [0.898, 0.102, 0.000], [0.303, 0.697, 0.877], [0.697, 0.303, 0.377], [0.077, 0.599, 0.711], [0.136, 0.187, 0.708], [0.187, 0.136, 0.208], [0.281, 0.719, 0.219], [0.401, 0.923, 0.711], [0.459, 0.541, 0.730], [0.541, 0.459, 0.230], [0.599, 0.077, 0.211], [0.719, 0.281, 0.719], [0.813, 0.864, 0.708], [0.864, 0.813, 0.208], [0.923, 0.401, 0.211]], "magmom_total_mub_per_cell": 8.000, "space_group": "Cmc2_1 (36)", "formation_energy_uncorrected_ev_per_atom": -1.6336}

{"formula": "Pr3BiB2Rh9", "functional": "PBE", "state": "relaxed", "cell": [[5.950, 0.000, 0.000], [-2.975, 5.153, 0.000], [0.000, 0.000, 8.930]], "species": ["Pr", "Pr", "Pr", "Bi", "B", "B", "Rh", "Rh", "Rh", "Rh", "Rh", "Rh", "Rh", "Rh", "Rh"], "frac_coords": [[0.000, 0.000, 0.000], [0.333, 0.667, 0.673], [0.667, 0.333, 0.327], [0.000, 0.000, 0.500], [0.333, 0.667, 0.141], [0.667, 0.333, 0.859], [0.000, 0.500, 0.000], [0.166, 0.332, 0.267], [0.166, 0.834, 0.267], [0.332, 0.166, 0.733], [0.500, 0.000, 0.000], [0.500, 0.500, 0.000], [0.668, 0.834, 0.267], [0.834, 0.166, 0.733], [0.834, 0.668, 0.733]], "magmom_total_mub_per_cell": 0.000, "space_group": "P-3m1 (164)", "delta_e_f_ev_per_atom": -0.49}